First-principles (GGA-PBE) data for a relaxed SrCu12Ge6 crystal, as listed in Alexandria.

Unit cell a=6.8958 b=6.8958 c=6.8958 alpha=103.10 beta=103.10 gamma=103.10
Closest atoms and distances in Å follow each position.
Fractional positions:
Sr: 0.0000 0.0000 0.0000  6 Cu 3.21
Cu: 0.1137 0.5000 0.8863  4 Ge 2.41-2.51, 3 Cu 2.46-2.68
Cu: 0.1137 0.8863 0.5000  4 Ge 2.41-2.51, 3 Cu 2.46-2.68
Cu: 0.1465 0.4004 0.4004  3 Ge 2.50-2.67, 4 Cu 2.68-2.74
Cu: 0.4004 0.1465 0.4004  3 Ge 2.50-2.67, 4 Cu 2.68-2.74
Cu: 0.4004 0.4004 0.1465  3 Ge 2.50-2.67, 4 Cu 2.68-2.74
Cu: 0.5000 0.1137 0.8863  4 Ge 2.41-2.51, 3 Cu 2.46-2.68
Cu: 0.5000 0.8863 0.1137  4 Ge 2.41-2.51, 3 Cu 2.46-2.68
Cu: 0.5996 0.5996 0.8535  3 Ge 2.50-2.67, 4 Cu 2.68-2.74
Cu: 0.5996 0.8535 0.5996  3 Ge 2.50-2.67, 4 Cu 2.68-2.74
Cu: 0.8535 0.5996 0.5996  3 Ge 2.50-2.67, 4 Cu 2.68-2.74
Cu: 0.8863 0.1137 0.5000  4 Ge 2.41-2.51, 3 Cu 2.46-2.68
Cu: 0.8863 0.5000 0.1137  4 Ge 2.41-2.51, 3 Cu 2.46-2.68
Ge: 0.2655 0.2655 0.6996  7 Cu 2.41-2.67
Ge: 0.2655 0.6996 0.2655  7 Cu 2.41-2.67
Ge: 0.3004 0.7345 0.7345  7 Cu 2.41-2.67
Ge: 0.6996 0.2655 0.2655  7 Cu 2.41-2.67
Ge: 0.7345 0.3004 0.7345  7 Cu 2.41-2.67
Ge: 0.7345 0.7345 0.3004  7 Cu 2.41-2.67

Energy of formation from the pure elements, meV per atom: 58
Total magnetization, μB/cell: 0.00
Crystal system: trigonal

---

First-principles (GGA-PBE) data for a relaxed SrCu2Ge2 crystal, as listed in Alexandria.

Unit cell a=5.9929 b=5.9929 c=5.9929 alpha=137.49 beta=137.49 gamma=61.68
Closest atoms and distances in Å follow each position.
Fractional positions:
Sr: 0.0000 0.0000 0.0000  8 Cu 3.33, 8 Ge 3.37
Cu: 0.3747 0.3747 0.0000  4 Ge 2.52, 1 Cu 2.58
Cu: 0.6253 0.6253 0.0000  4 Ge 2.52, 1 Cu 2.58
Ge: 0.2500 0.7500 0.5000  4 Cu 2.52
Ge: 0.7500 0.2500 0.5000  4 Cu 2.52

Energy of formation from the pure elements, meV per atom: -258
Total magnetization, μB/cell: 0.00
Crystal system: tetragonal

---

First-principles (GGA-PBE) data for a relaxed SrCu4Ge4 crystal, as listed in Alexandria.

Unit cell a=6.2452 b=6.2452 c=8.2560 alpha=90.00 beta=90.00 gamma=90.00
Closest atoms and distances in Å follow each position.
Fractional positions:
Sr: 0.2500 0.7500 0.2500  12 Cu 3.33-3.63, 12 Ge 3.45-3.63
Sr: 0.7500 0.2500 0.7500  12 Cu 3.33-3.63, 12 Ge 3.45-3.63
Cu: 0.0505 0.2500 0.0839  5 Ge 2.47-2.56, 1 Cu 2.49
Cu: 0.2500 0.0505 0.5839  5 Ge 2.47-2.56, 1 Cu 2.49
Cu: 0.2500 0.4495 0.5839  5 Ge 2.47-2.56, 1 Cu 2.49
Cu: 0.4495 0.2500 0.0839  5 Ge 2.47-2.56, 1 Cu 2.49
Cu: 0.5505 0.7500 0.9161  5 Ge 2.47-2.56, 1 Cu 2.49
Cu: 0.7500 0.5505 0.4161  5 Ge 2.47-2.56, 1 Cu 2.49
Cu: 0.7500 0.9495 0.4161  5 Ge 2.47-2.56, 1 Cu 2.49
Cu: 0.9495 0.7500 0.9161  5 Ge 2.47-2.56, 1 Cu 2.49
Ge: 0.0111 0.2500 0.3815  5 Cu 2.47-2.56
Ge: 0.2500 0.0111 0.8815  5 Cu 2.47-2.56
Ge: 0.2500 0.4889 0.8815  5 Cu 2.47-2.56
Ge: 0.4889 0.2500 0.3815  5 Cu 2.47-2.56
Ge: 0.5111 0.7500 0.6185  5 Cu 2.47-2.56
Ge: 0.7500 0.5111 0.1185  5 Cu 2.47-2.56
Ge: 0.7500 0.9889 0.1185  5 Cu 2.47-2.56
Ge: 0.9889 0.7500 0.6185  5 Cu 2.47-2.56

Energy of formation from the pure elements, meV per atom: -111
Total magnetization, μB/cell: 0.00
Crystal system: tetragonal

---

First-principles (GGA-PBE) data for a relaxed SrCu2Ge2 crystal, as listed in Alexandria.

Unit cell a=7.8606 b=7.8606 c=2.9722 alpha=90.00 beta=90.00 gamma=90.00
Closest atoms and distances in Å follow each position.
Fractional positions:
Sr: 0.0000 0.0000 0.0000  2 Sr 2.97, 4 Cu 3.15, 8 Ge 3.29
Sr: 0.5000 0.5000 0.0000  2 Sr 2.97, 4 Cu 3.15, 8 Ge 3.29
Cu: 0.1166 0.3834 0.0000  1 Cu 2.59, 6 Ge 2.70-2.84
Cu: 0.3834 0.8834 0.0000  1 Cu 2.59, 6 Ge 2.70-2.84
Cu: 0.6166 0.1166 0.0000  1 Cu 2.59, 6 Ge 2.70-2.84
Cu: 0.8834 0.6166 0.0000  1 Cu 2.59, 6 Ge 2.70-2.84
Ge: 0.1658 0.6658 0.5000  6 Cu 2.70-2.84, 2 Ge 2.97
Ge: 0.3342 0.1658 0.5000  6 Cu 2.70-2.84, 2 Ge 2.97
Ge: 0.6658 0.8342 0.5000  6 Cu 2.70-2.84, 2 Ge 2.97
Ge: 0.8342 0.3342 0.5000  6 Cu 2.70-2.84, 2 Ge 2.97

Energy of formation from the pure elements, meV per atom: -6
Total magnetization, μB/cell: 0.00
Crystal system: tetragonal